No. 1
## SrZnBi2P (PBEsol)

Data for SrZnBi2P after structural relaxation.

Unit cell a=5.357 b=5.977 c=5.977 alpha=90.00 beta=90.00 gamma=90.00
Atoms (fractional coordinates):
Bi1 0.000 0.500 0.000
Bi2 0.000 0.000 0.500
Zn1 0.500 0.500 0.500
P1 0.500 0.000 0.000
Sr1 0.000 0.000 0.000

Output
E_tot: -2.51 eV per atom
Crystal system: tetragonal

---

No. 2
## Rb2AlIr (PBEsol)

Data for Rb2AlIr after structural relaxation.

Unit cell a=4.043 b=4.043 c=12.217 alpha=99.52 beta=99.52 gamma=90.00
Atoms (fractional coordinates):
Al1 0.750 0.250 0.500
Al2 0.500 0.500 0.000
Rb1 0.625 0.628 0.750
Rb2 0.878 0.375 0.250
Rb3 0.125 0.122 0.750
Rb4 0.372 0.875 0.250
Ir1 0.000 0.000 0.000
Ir2 0.250 0.750 0.500

Output
E_tot: -3.00 eV per atom
Crystal system: tetragonal

---

No. 3
## LaSbTe (PBEsol)

Data for LaSbTe after structural relaxation.

Unit cell a=4.362 b=4.362 c=9.443 alpha=90.00 beta=90.00 gamma=90.00
Atoms (fractional coordinates):
Sb1 0.000 0.000 0.000
Sb2 0.500 0.500 0.000
Te1 0.500 0.000 0.629
Te2 0.000 0.500 0.371
La1 0.500 0.000 0.277
La2 0.000 0.500 0.723

Output
E_tot: -5.77 eV per atom
Crystal system: tetragonal

---

No. 4
## CuSbI2N (PBEsol)

Data for CuSbI2N after structural relaxation.

Unit cell a=4.864 b=5.426 c=5.426 alpha=90.00 beta=90.00 gamma=90.00
Site moments in Bohr magnetons follow the coordinates.
Atoms (fractional coordinates):
N1 0.500 0.500 0.500  1.81
Cu1 0.000 0.000 0.000  -0.02
I1 0.000 0.000 0.500  0.05
I2 0.000 0.500 0.000  0.05
Sb1 0.500 0.000 0.000  -0.09

Output
Energy above the lowest structure with this stoichiometry: 581 meV/atom
Crystal system: tetragonal

---

No. 5
## Rb2Sb4O11 (PBEsol)

Data for Rb2Sb4O11 after structural relaxation.

Unit cell a=7.253 b=7.626 c=10.544 alpha=111.20 beta=94.98 gamma=90.00
Atoms (fractional coordinates):
Sb1 0.563 0.083 0.651
Sb2 0.383 0.924 0.848
Sb3 0.437 0.917 0.349
Sb4 0.617 0.076 0.152
Sb5 0.901 0.928 0.857
Sb6 0.099 0.072 0.143
Sb7 0.437 0.432 0.349
Sb8 0.563 0.568 0.651
O1 0.869 0.118 0.236
O2 0.189 0.328 0.258
O3 0.644 0.340 0.680
O4 0.356 0.660 0.320
O5 0.668 0.525 0.473
O6 0.811 0.070 0.742
O7 0.668 0.949 0.473
O8 0.000 0.828 0.000
O9 0.332 0.051 0.527
O10 0.430 0.656 0.823
O11 0.570 0.833 0.177
O12 0.131 0.882 0.764
O13 0.332 0.475 0.527
O14 0.511 0.167 0.334
O15 0.654 0.976 0.953
O16 0.430 0.167 0.823
O17 0.346 0.024 0.047
O18 0.570 0.344 0.177
O19 0.811 0.672 0.742
O20 0.489 0.833 0.666
O21 0.000 0.172 0.000
O22 0.189 0.930 0.258
Rb1 0.008 0.737 0.473
Rb2 0.743 0.490 0.980
Rb3 0.992 0.263 0.527
Rb4 0.257 0.510 0.020

Output
E_tot: -6.15 eV per atom
Crystal system: monoclinic

---

No. 6
## NiSb3F (PBEsol)

Data for NiSb3F after structural relaxation.

Unit cell a=4.736 b=4.736 c=4.736 alpha=90.00 beta=90.00 gamma=90.00
Atoms (fractional coordinates):
Sb1 0.000 0.000 0.500
Sb2 0.000 0.500 0.000
Sb3 0.500 0.000 0.000
F1 0.000 0.000 0.000
Ni1 0.500 0.500 0.500

Output
E_tot: -4.07 eV per atom
Crystal system: cubic

---

No. 7
## Ni3B (PBEsol)

Data for Ni3B after structural relaxation.

Unit cell a=4.328 b=5.127 c=6.540 alpha=90.00 beta=90.00 gamma=90.00
Atoms (fractional coordinates):
Ni1 0.631 0.527 0.250
Ni2 0.155 0.681 0.438
Ni3 0.655 0.819 0.938
Ni4 0.131 0.973 0.750
Ni5 0.369 0.473 0.750
Ni6 0.845 0.319 0.938
Ni7 0.155 0.681 0.062
Ni8 0.845 0.319 0.562
Ni9 0.345 0.181 0.438
Ni10 0.869 0.027 0.250
Ni11 0.655 0.819 0.562
Ni12 0.345 0.181 0.062
B1 0.562 0.118 0.750
B2 0.062 0.382 0.250
B3 0.438 0.882 0.250
B4 0.938 0.618 0.750

Output
E_tot: -6.68 eV per atom
Crystal system: orthorhombic

---

No. 8
## SrCd2Pt2 (PBEsol)

Data for SrCd2Pt2 after structural relaxation.

Unit cell a=4.262 b=4.262 c=6.767 alpha=108.35 beta=108.35 gamma=90.00
Atoms (fractional coordinates):
Sr1 0.000 0.000 0.000
Cd1 0.750 0.250 0.500
Cd2 0.250 0.750 0.500
Pt1 0.395 0.395 0.790
Pt2 0.605 0.605 0.210

Output
Energy above the lowest structure with this stoichiometry: 0 meV/atom
Crystal system: tetragonal